Entry 1:
VASP calculation (GGA-PBE) on an optimized crystal structure of Na2Sn3Pb.

Cell lengths 6.380, 6.380, 10.798 Å; angles 115.74, 115.74, 61.95 degrees
Fractional positions:
Na: 0.750 0.250 0.500
Na: 0.749 0.251 0.000
Na: 0.250 0.750 0.500
Na: 0.251 0.749 0.000
Sn: 0.837 0.837 0.165
Sn: 0.672 0.672 0.835
Sn: 0.163 0.163 0.835
Sn: 0.328 0.328 0.165
Sn: 0.162 0.162 0.325
Sn: 0.838 0.838 0.675
Pb: 0.666 0.666 0.333
Pb: 0.334 0.334 0.667

The volume is 27.9 Å³ per atom. For the relative energy among the computed polymorphs, the calculation gives 0.0 meV/atom. For the total moment, the calculation gives 0.00 Bohr magnetons per cell. Its energy of formation is -144 meV per atom. For the density of states at the Fermi level, the calculation gives 0.3209 states/eV/atom.

***

Entry 2:
VASP calculation (GGA-PBE) on an optimized crystal structure of NaSnPb2.

Cell lengths 8.870, 8.870, 7.067 Å; angles 51.13, 51.13, 90.00 degrees
Fractional positions:
Pb: 0.660 0.125 0.250
Pb: 0.090 0.625 0.250
Pb: 0.375 0.340 0.750
Pb: 0.875 0.910 0.750
Na: 0.500 0.500 0.000
Na: 0.250 0.750 0.500
Sn: 0.000 0.000 0.000
Sn: 0.750 0.250 0.500

The volume is 32.0 Å³ per atom. For the total moment, the calculation gives 0.00 Bohr magnetons per cell. Its energy of formation is -3 meV per atom. For the density of states at the Fermi level, the calculation gives 0.6550 states/eV/atom.

***

Entry 3:
VASP calculation (GGA-PBE) on an optimized crystal structure of NaSn2Pb8.

Cell lengths 5.905, 7.970, 7.970 Å; angles 104.14, 98.34, 98.34 degrees
Fractional positions:
Na: 0.500 0.000 0.000
Sn: 0.000 0.367 0.633
Sn: 0.000 0.633 0.367
Pb: 0.932 0.957 0.684
Pb: 0.932 0.684 0.957
Pb: 0.438 0.667 0.667
Pb: 0.500 0.737 0.263
Pb: 0.500 0.263 0.737
Pb: 0.562 0.333 0.333
Pb: 0.068 0.316 0.043
Pb: 0.068 0.043 0.316

The volume is 32.1 Å³ per atom. For the total moment, the calculation gives 0.00 Bohr magnetons per cell. Its energy of formation is 61 meV per atom. For the density of states at the Fermi level, the calculation gives 0.6042 states/eV/atom.

***

Entry 4:
VASP calculation (GGA-PBE) on an optimized crystal structure of NaSn3Pb.

Cell lengths 7.642, 7.770, 10.003 Å; angles 90.00, 90.01, 90.00 degrees
Fractional positions:
Na: 0.139 0.690 0.500
Na: 0.361 0.190 0.000
Na: 0.861 0.310 0.500
Na: 0.639 0.810 0.000
Sn: 0.640 0.136 0.254
Sn: 0.140 0.364 0.754
Sn: 0.500 0.500 0.341
Sn: 0.000 0.000 0.159
Sn: 0.500 0.500 0.659
Sn: 0.360 0.864 0.746
Sn: 0.361 0.864 0.254
Sn: 0.639 0.136 0.746
Sn: 0.860 0.636 0.246
Sn: 0.000 0.000 0.841
Sn: 0.861 0.636 0.754
Sn: 0.139 0.364 0.246
Pb: 0.301 0.131 0.500
Pb: 0.699 0.869 0.500
Pb: 0.801 0.369 0.000
Pb: 0.199 0.631 0.000

The volume is 29.7 Å³ per atom. For the relative energy among the computed polymorphs, the calculation gives 0.0 meV/atom. For the total moment, the calculation gives 0.00 Bohr magnetons per cell. Its energy of formation is -33 meV per atom. For the density of states at the Fermi level, the calculation gives 0.4820 states/eV/atom.

***

Entry 5:
VASP calculation (GGA-PBE) on an optimized crystal structure of Na5Sn3Pb12.

Cell lengths 15.958, 15.958, 15.958 Å; angles 109.47, 109.47, 109.47 degrees
Fractional positions:
Sn: 0.750 0.375 0.125
Sn: 0.875 0.750 0.125
Sn: 0.375 0.750 0.625
Sn: 0.250 0.125 0.375
Sn: 0.875 0.125 0.250
Sn: 0.375 0.625 0.250
Sn: 0.625 0.375 0.750
Sn: 0.125 0.875 0.750
Sn: 0.750 0.875 0.625
Sn: 0.625 0.250 0.375
Sn: 0.125 0.250 0.875
Sn: 0.250 0.625 0.875
Na: 0.125 0.375 0.250
Na: 0.000 0.500 0.000
Na: 0.000 0.000 0.000
Na: 0.375 0.250 0.125
Na: 0.500 0.000 0.500
Na: 0.500 0.500 0.000
Na: 0.125 0.750 0.375
Na: 0.750 0.125 0.875
Na: 0.750 0.625 0.375
Na: 0.375 0.125 0.750
Na: 0.625 0.875 0.250
Na: 0.500 0.500 0.500
Na: 0.500 0.000 0.000
Na: 0.000 0.000 0.500
Na: 0.250 0.375 0.625
Na: 0.250 0.875 0.125
Na: 0.000 0.500 0.500
Na: 0.875 0.250 0.625
Na: 0.625 0.750 0.875
Na: 0.875 0.625 0.750
Pb: 0.729 0.148 0.077
Pb: 0.348 0.577 0.429
Pb: 0.923 0.352 0.271
Pb: 0.577 0.229 0.148
Pb: 0.581 0.729 0.652
Pb: 0.923 0.571 0.152
Pb: 0.348 0.771 0.419
Pb: 0.071 0.919 0.148
Pb: 0.571 0.923 0.652
Pb: 0.729 0.581 0.152
Pb: 0.771 0.423 0.352
Pb: 0.848 0.929 0.077
Pb: 0.148 0.729 0.577
Pb: 0.352 0.429 0.081
Pb: 0.081 0.929 0.352
Pb: 0.419 0.148 0.571
Pb: 0.081 0.152 0.229
Pb: 0.423 0.652 0.071
Pb: 0.848 0.919 0.271
Pb: 0.148 0.419 0.071
Pb: 0.352 0.923 0.771
Pb: 0.571 0.648 0.419
Pb: 0.929 0.848 0.577
Pb: 0.771 0.348 0.919
Pb: 0.429 0.352 0.581
Pb: 0.071 0.152 0.423
Pb: 0.229 0.652 0.081
Pb: 0.152 0.081 0.729
Pb: 0.648 0.077 0.229
Pb: 0.852 0.581 0.929
Pb: 0.577 0.348 0.929
Pb: 0.581 0.852 0.429
Pb: 0.919 0.848 0.771
Pb: 0.919 0.071 0.648
Pb: 0.852 0.271 0.423
Pb: 0.152 0.071 0.923
Pb: 0.648 0.571 0.919
Pb: 0.429 0.077 0.348
Pb: 0.271 0.419 0.848
Pb: 0.229 0.577 0.648
Pb: 0.929 0.081 0.852
Pb: 0.652 0.229 0.581
Pb: 0.423 0.771 0.852
Pb: 0.077 0.429 0.848
Pb: 0.419 0.271 0.348
Pb: 0.077 0.648 0.729
Pb: 0.652 0.423 0.571
Pb: 0.271 0.852 0.923

The volume is 39.1 Å³ per atom. For the total moment, the calculation gives 0.00 Bohr magnetons per cell. Its energy of formation is 109 meV per atom. For the density of states at the Fermi level, the calculation gives 0.6553 states/eV/atom.

***

Entry 6:
VASP calculation (GGA-PBE) on an optimized crystal structure of NaTaSn2Pb.

Cell lengths 5.259, 5.223, 5.259 Å; angles 90.00, 90.00, 90.00 degrees
Each line ends with the local moment (μB).
Fractional positions:
Pb: 0.500 0.500 0.500  0.01
Na: 0.000 0.000 0.000  0.03
Sn: 0.000 0.000 0.500  -0.01
Sn: 0.500 0.000 0.000  -0.04
Ta: 0.000 0.500 0.000  1.60

The volume is 28.9 Å³ per atom. For the total moment, the calculation gives 2.34 Bohr magnetons per cell. Its energy of formation is 1365 meV per atom. For the density of states at the Fermi level, the calculation gives 1.2455 states/eV/atom.

***

Repeat the fifth record exactly.
VASP calculation (GGA-PBE) on an optimized crystal structure of Na5Sn3Pb12.

Cell lengths 15.958, 15.958, 15.958 Å; angles 109.47, 109.47, 109.47 degrees
Fractional positions:
Sn: 0.750 0.375 0.125
Sn: 0.875 0.750 0.125
Sn: 0.375 0.750 0.625
Sn: 0.250 0.125 0.375
Sn: 0.875 0.125 0.250
Sn: 0.375 0.625 0.250
Sn: 0.625 0.375 0.750
Sn: 0.125 0.875 0.750
Sn: 0.750 0.875 0.625
Sn: 0.625 0.250 0.375
Sn: 0.125 0.250 0.875
Sn: 0.250 0.625 0.875
Na: 0.125 0.375 0.250
Na: 0.000 0.500 0.000
Na: 0.000 0.000 0.000
Na: 0.375 0.250 0.125
Na: 0.500 0.000 0.500
Na: 0.500 0.500 0.000
Na: 0.125 0.750 0.375
Na: 0.750 0.125 0.875
Na: 0.750 0.625 0.375
Na: 0.375 0.125 0.750
Na: 0.625 0.875 0.250
Na: 0.500 0.500 0.500
Na: 0.500 0.000 0.000
Na: 0.000 0.000 0.500
Na: 0.250 0.375 0.625
Na: 0.250 0.875 0.125
Na: 0.000 0.500 0.500
Na: 0.875 0.250 0.625
Na: 0.625 0.750 0.875
Na: 0.875 0.625 0.750
Pb: 0.729 0.148 0.077
Pb: 0.348 0.577 0.429
Pb: 0.923 0.352 0.271
Pb: 0.577 0.229 0.148
Pb: 0.581 0.729 0.652
Pb: 0.923 0.571 0.152
Pb: 0.348 0.771 0.419
Pb: 0.071 0.919 0.148
Pb: 0.571 0.923 0.652
Pb: 0.729 0.581 0.152
Pb: 0.771 0.423 0.352
Pb: 0.848 0.929 0.077
Pb: 0.148 0.729 0.577
Pb: 0.352 0.429 0.081
Pb: 0.081 0.929 0.352
Pb: 0.419 0.148 0.571
Pb: 0.081 0.152 0.229
Pb: 0.423 0.652 0.071
Pb: 0.848 0.919 0.271
Pb: 0.148 0.419 0.071
Pb: 0.352 0.923 0.771
Pb: 0.571 0.648 0.419
Pb: 0.929 0.848 0.577
Pb: 0.771 0.348 0.919
Pb: 0.429 0.352 0.581
Pb: 0.071 0.152 0.423
Pb: 0.229 0.652 0.081
Pb: 0.152 0.081 0.729
Pb: 0.648 0.077 0.229
Pb: 0.852 0.581 0.929
Pb: 0.577 0.348 0.929
Pb: 0.581 0.852 0.429
Pb: 0.919 0.848 0.771
Pb: 0.919 0.071 0.648
Pb: 0.852 0.271 0.423
Pb: 0.152 0.071 0.923
Pb: 0.648 0.571 0.919
Pb: 0.429 0.077 0.348
Pb: 0.271 0.419 0.848
Pb: 0.229 0.577 0.648
Pb: 0.929 0.081 0.852
Pb: 0.652 0.229 0.581
Pb: 0.423 0.771 0.852
Pb: 0.077 0.429 0.848
Pb: 0.419 0.271 0.348
Pb: 0.077 0.648 0.729
Pb: 0.652 0.423 0.571
Pb: 0.271 0.852 0.923

The volume is 39.1 Å³ per atom. For the total moment, the calculation gives 0.00 Bohr magnetons per cell. Its energy of formation is 109 meV per atom. For the density of states at the Fermi level, the calculation gives 0.6553 states/eV/atom.